[1]
A plane-wave DFT calculation with PBE was carried out for a geometry-optimized BiTe2Pb structure.

Cell: 5.2856 6.5148 17.8712 Å, 90.00 90.00 90.00°
Last column: nearest neighbours and their distance in Å.
Element x y z (fractional)
Bi  0.7500  0.7465  0.1612  5 Te 3.10-3.26
Bi  0.2500  0.2535  0.8388  5 Te 3.10-3.26
Bi  0.7500  0.2465  0.3388  5 Te 3.10-3.26
Bi  0.2500  0.7535  0.6612  5 Te 3.10-3.26
Te  0.7500  0.7529  0.5703  2 Bi 3.10, 4 Pb 3.27-3.45
Te  0.7500  0.2465  0.1641  3 Bi 3.12-3.26, 2 Pb 3.30
Te  0.2500  0.2535  0.6641  3 Bi 3.12-3.26, 2 Pb 3.30
Te  0.2500  0.7471  0.0703  2 Bi 3.10, 4 Pb 3.27-3.45
Te  0.2500  0.2471  0.4297  2 Bi 3.10, 4 Pb 3.27-3.45
Te  0.7500  0.2529  0.9297  2 Bi 3.10, 4 Pb 3.27-3.45
Te  0.2500  0.7535  0.8359  3 Bi 3.12-3.26, 2 Pb 3.30
Te  0.7500  0.7465  0.3359  3 Bi 3.12-3.26, 2 Pb 3.30
Pb  0.7500  0.7528  0.9465  6 Te 3.27-3.45
Pb  0.2500  0.2472  0.0535  6 Te 3.27-3.45
Pb  0.2500  0.7472  0.4465  6 Te 3.27-3.45
Pb  0.7500  0.2528  0.5535  6 Te 3.27-3.45

## Properties
Its density of states at the Fermi level is 8.0 states/eV/cell. The calculation puts the formation energy from raw total energies at -0.6 eV per formula unit.

=====

[2]
A plane-wave DFT calculation with PBE was carried out for a geometry-optimized ZrOs2OF structure.

Cell: 5.2787 4.0559 5.2787 Å, 90.00 90.00 90.00°
Last column: nearest neighbours and their distance in Å.
Element x y z (fractional)
F  0.5000  0.5000  0.5000  8 Os 3.33
Os  0.5000  0.0000  0.0000  2 Zr 2.64
Os  0.0000  0.0000  0.5000  2 Zr 2.64
Zr  0.0000  0.0000  0.0000  2 O 2.03
O  0.0000  0.5000  0.0000  2 Zr 2.03

## Properties
Its density of states at the Fermi level is 4.5 states/eV/cell. The calculation puts the formation energy from raw total energies at 6.0 eV per formula unit.

=====

[3]
A plane-wave DFT calculation with PBE was carried out for a geometry-optimized AlSi2Ru structure.

Cell: 4.4220 4.4220 4.5103 Å, 84.77 84.77 38.88°
Last column: nearest neighbours and their distance in Å.
Element x y z (fractional)
Al  0.2500  0.2500  0.2500  2 Si 2.43, 4 Ru 2.69
Si  0.0103  0.0103  0.9848  1 Al 2.43, 3 Ru 2.51-2.62, 2 Si 2.60
Si  0.4897  0.4897  0.5152  1 Al 2.43, 3 Ru 2.51-2.62, 2 Si 2.60
Ru  0.7500  0.7500  0.7500  6 Si 2.51-2.62, 4 Al 2.69

## Properties
Its density of states at the Fermi level is 0.6 states/eV/cell. The calculation puts the formation energy from raw total energies at -1.1 eV per formula unit.

=====

[4]
A plane-wave DFT calculation with PBE was carried out for a geometry-optimized Tl3SiAs structure.

Cell: 5.2739 5.2739 5.2739 Å, 90.00 90.00 90.00°
Last column: nearest neighbours and their distance in Å.
Element x y z (fractional)
Si  0.0000  0.0000  0.0000  6 Tl 2.64
Tl  0.0000  0.0000  0.5000  2 Si 2.64
Tl  0.0000  0.5000  0.0000  2 Si 2.64
Tl  0.5000  0.0000  0.0000  2 Si 2.64
As  0.5000  0.5000  0.5000  12 Tl 3.73

## Properties
Its density of states at the Fermi level is 2.0 states/eV/cell. The polymorph energy (0 for the lowest one) comes out at 0 meV per atom. The calculation puts the formation energy from raw total energies at 2.7 eV per formula unit.

=====

[5]
A plane-wave DFT calculation with PBE was carried out for a geometry-optimized K2SrBr structure.

Cell: 8.2873 7.4021 4.4931 Å, 89.76 57.67 113.42°
Last column: nearest neighbours and their distance in Å.
Element x y z (fractional)
Br  0.5000  0.5000  0.0000  2 Sr 3.50
K  0.0000  0.0000  0.0000  2 K 3.50
K  0.5000  0.0000  0.5000  2 K 3.50
Sr  0.0000  0.5000  0.5000  2 Br 3.50

## Properties
Its density of states at the Fermi level is 2.4 states/eV/cell. The polymorph energy (0 for the lowest one) comes out at 280 meV per atom. The calculation puts the formation energy from raw total energies at -2.0 eV per formula unit.

=====

[6]
A plane-wave DFT calculation with PBE was carried out for a geometry-optimized KCoB2S structure.

Cell: 4.7704 4.7704 5.3755 Å, 90.00 90.00 90.00°
Last column: nearest neighbours and their distance in Å.
Element x y z (fractional)
K  0.0000  0.0000  0.0000  4 B 2.39
Co  0.5000  0.5000  0.5000  4 S 3.37, 8 B 3.59
B  0.5000  0.0000  0.0000  2 K 2.39
B  0.0000  0.5000  0.0000  2 K 2.39
S  0.0000  0.0000  0.5000  2 K 2.69

## Properties
Its density of states at the Fermi level is 5.2 states/eV/cell. The polymorph energy (0 for the lowest one) comes out at 1052 meV per atom. The calculation puts the formation energy from raw total energies at 14.6 eV per formula unit.

=====

[7]
A plane-wave DFT calculation with PBE was carried out for a geometry-optimized Fe6B6Mo structure.

Cell: 4.2345 5.5054 5.5054 Å, 80.55 67.38 67.38°
Last column: nearest neighbours and their distance in Å.
Element x y z (fractional)
Fe  0.0000  0.6587  0.3413  6 B 2.20-2.25, 1 Fe 2.26, 1 Mo 2.43
Fe  0.6552  0.3448  0.3448  6 B 2.18-2.21, 3 Fe 2.25-2.41
Fe  0.6850  0.8150  0.8150  6 B 2.12-2.13
Fe  0.3150  0.1850  0.1850  6 B 2.12-2.13
Fe  0.0000  0.3413  0.6587  6 B 2.20-2.25, 1 Fe 2.26, 1 Mo 2.43
Fe  0.3448  0.6552  0.6552  6 B 2.18-2.21, 3 Fe 2.25-2.41
B  0.0000  0.0000  0.5000  4 B 2.10-2.12, 6 Fe 2.12-2.20
B  0.0000  0.5000  0.0000  4 B 2.10-2.12, 6 Fe 2.12-2.20
B  0.5000  0.0000  0.5000  4 B 2.10-2.12, 6 Fe 2.12-2.20
B  0.5000  0.5000  0.0000  4 B 2.10-2.12, 6 Fe 2.12-2.20
B  0.5000  0.2330  0.7670  4 B 2.10, 6 Fe 2.13-2.25
B  0.5000  0.7670  0.2330  4 B 2.10, 6 Fe 2.13-2.25
Mo  0.0000  0.0000  0.0000  8 Fe 2.43-2.51, 4 B 2.69

## Properties
As for the formation energy: -0.5 kJ per mole of atoms. Its density of states at the Fermi level is 9.4 states/eV/cell.

=====

[8]
A plane-wave DFT calculation with PBE was carried out for a geometry-optimized PmTmTcPd structure.

Cell: 4.9145 4.9145 4.9145 Å, 60.00 60.00 60.00°
Last column: nearest neighbours and their distance in Å.
Element x y z (fractional)
Tm  0.2500  0.2500  0.2500  4 Pd 3.01, 4 Tc 3.01
Pm  0.7500  0.7500  0.7500  4 Tc 3.01, 4 Pd 3.01
Tc  0.5000  0.5000  0.5000  4 Tm 3.01, 4 Pm 3.01
Pd  0.0000  0.0000  0.0000  4 Pm 3.01, 4 Tm 3.01

## Properties
As for the formation energy: -30.4 kJ per mole of atoms. Its density of states at the Fermi level is 3.3 states/eV/cell.